Entry 1:
TcHg2Br | the Alexandria database | GGA-PBE | relaxed; formation energy from raw total energies = 0.7444 eV/atom; SG = I4/mmm; D(E_F) = 2.7 states/eV/f.u.; DFT total energy = -2.416 eV per atom; total magnetic moment = 3.96 μB/f.u.; energy above the lowest structure with this stoichiometry = 0.422 eV per atom; density = 9837 kg/m³
1.0
6.484 0.020 0.000
3.867 5.204 0.000
-5.176 -2.612 2.904
Hg Tc Br
2 1 1
direct
0.000 0.000 0.000
0.500 0.500 0.000
0.750 0.250 0.500
0.250 0.750 0.500



Entry 2:
TcHg2Br | the Alexandria database | GGA-PBE | relaxed; formation energy from raw total energies = 0.6573 eV/atom; SG = Cmmm; D(E_F) = 3.3 states/eV/f.u.; DFT total energy = -2.503 eV per atom; total magnetic moment = 2.04 μB/f.u.; energy above the lowest structure with this stoichiometry = 0.334 eV per atom; density = 11281 kg/m³
1.0
-1.605 4.462 2.447
-0.996 -4.471 2.737
2.924 0.247 1.468
Hg Tc Br
2 1 1
direct
0.000 0.000 0.000
0.500 0.500 0.000
0.500 0.000 0.500
0.000 0.500 0.500



Entry 3:
TcHgBr2 | the Alexandria database | GGA-PBE | relaxed; formation energy from raw total energies = 0.3448 eV/atom; SG = P4/mmm; D(E_F) = 3.1 states/eV/f.u.; DFT total energy = -3.159 eV per atom; total magnetic moment = 2.52 μB/f.u.; energy above the lowest structure with this stoichiometry = 0.280 eV per atom; density = 7163 kg/m³
1.0
-3.134 0.829 0.381
-0.835 -2.055 -2.394
-1.126 -7.324 6.678
Br Tc Hg
2 1 1
direct
0.000 0.000 0.912
0.000 0.000 0.588
0.500 0.500 0.750
0.500 0.500 0.250



Entry 4:
TcHg2Br | the Alexandria database | GGA-PBE | relaxed; formation energy from raw total energies = 0.3396 eV/atom; SG = Pm; D(E_F) = 3.5 states/eV/f.u.; DFT total energy = -2.821 eV per atom; total magnetic moment = 0.00 μB/f.u.; energy above the lowest structure with this stoichiometry = 0.017 eV per atom; density = 9501 kg/m³
1.0
-0.462 2.622 1.671
0.395 -2.411 3.892
7.103 -0.018 1.993
Hg Br Tc
2 1 1
direct
0.500 0.266 0.345
0.000 0.922 0.031
0.500 0.587 0.700
0.000 0.726 0.424



Entry 5:
TcHg2Br | the Alexandria database | GGA-PBE | relaxed; formation energy from raw total energies = 0.4262 eV/atom; SG = P4mm; D(E_F) = 1.8 states/eV/f.u.; DFT total energy = -2.734 eV per atom; total magnetic moment = 0.00 μB/f.u.; energy above the lowest structure with this stoichiometry = 0.103 eV per atom; density = 10419 kg/m³
1.0
-2.771 -1.121 0.811
0.728 -2.725 -1.281
3.656 -2.967 8.388
Tc Hg Br
1 2 1
direct
0.000 0.000 0.522
0.000 0.000 0.018
0.500 0.500 0.300
0.500 0.500 0.660



Entry 6:
TcHg2Br | the Alexandria database | GGA-PBE | relaxed; formation energy from raw total energies = 0.7593 eV/atom; SG = I-4m2; D(E_F) = 2.4 states/eV/f.u.; DFT total energy = -2.401 eV per atom; total magnetic moment = 3.54 μB/f.u.; energy above the lowest structure with this stoichiometry = 0.436 eV per atom; density = 10505 kg/m³
1.0
5.578 0.016 0.000
1.996 5.209 0.000
-3.787 -2.613 3.154
Tc Br Hg
1 1 2
direct
0.500 0.500 0.000
0.750 0.250 0.500
0.000 0.000 0.000
0.250 0.750 0.500



Entry 7:
TcHgBr2 | the Alexandria database | GGA-PBE | relaxed; formation energy from raw total energies = 0.6701 eV/atom; SG = Pmmm; D(E_F) = 2.3 states/eV/f.u.; DFT total energy = -2.833 eV per atom; total magnetic moment = 3.77 μB/f.u.; energy above the lowest structure with this stoichiometry = 0.605 eV per atom; density = 7455 kg/m³
1.0
3.658 0.000 0.000
0.000 6.223 0.000
0.000 0.000 4.486
Hg Br Tc
1 2 1
direct
0.500 0.000 0.500
0.000 0.000 0.000
0.500 0.500 0.000
0.000 0.500 0.500



Entry 8:
TcHg2Br | the Alexandria database | GGA-PBE | relaxed; formation energy from raw total energies = 0.6622 eV/atom; SG = P2/m; D(E_F) = 2.9 states/eV/f.u.; DFT total energy = -2.498 eV per atom; total magnetic moment = 2.79 μB/f.u.; energy above the lowest structure with this stoichiometry = 0.339 eV per atom; density = 10140 kg/m³
1.0
-1.636 -1.409 4.958
0.923 -3.239 -0.616
5.375 -1.445 1.362
Hg Br Tc
2 1 1
direct
0.000 0.168 0.017
0.000 0.332 0.483
0.500 0.750 0.750
0.500 0.250 0.250